A relaxed structure of Ni3SbCl, computed with GGA-PBE.

Results
total magnetization = 0.12 μB per formula unit
ΔE to the lowest computed polymorph = 373.3 meV per atom
total DFT energy (no corrections) = -18.88 eV for the cell shown
raw formation energy = 0.8863 eV/atom

Unit cell a=4.791 b=4.791 c=4.791 alpha=90.00 beta=90.00 gamma=90.00
Atoms (fractional coordinates):
Ni (0.000, 0.000, 0.500)
Ni (0.000, 0.500, 0.000)
Ni (0.500, 0.000, 0.000)
Sb (0.000, 0.000, 0.000)
Cl (0.500, 0.500, 0.500)